Density functional theory data (PBE) for SrCu3F8 after structural relaxation.

a b c (Å): 5.3313 5.3313 6.9260
angles (deg): 90.00 90.00 120.00
With the nearest neighbours (Å) after each atom.
Space group P-3 (No. 147)
One atom of each set of equivalent atoms:
Sr 0.0000 0.0000 0.0000 [1 per cell]  6 F 2.69
Cu 0.0000 0.0000 0.5000 [1 per cell]  6 F 1.98
Cu 0.3333 0.6667 0.7144 [2 per cell]  4 F 1.88-1.95
F 0.0062 0.2904 0.3186 [6 per cell]  2 Cu 1.95-1.98
F 0.3333 0.6667 0.9857 [2 per cell]  1 Cu 1.88

Summary:
- Total DFT energy (no corrections): -4.36 eV per atom
- E_form (uncorrected): -1.9512 eV/atom